## w
! Rb2BrCl6F | the Alexandria database | PBE | relaxed; values from VASP
&SYSTEM
  ibrav = 0, nat = 10, ntyp = 4
/
ATOMIC_SPECIES
Rb 85.47 Rb.upf
Br 79.90 Br.upf
Cl 35.45 Cl.upf
F 19.00 F.upf
ATOMIC_POSITIONS angstrom
Rb 2.563 2.563 2.563
Rb 7.688 7.688 7.688
Br 0.000 0.000 0.000
Cl 5.125 5.125 2.471
Cl 5.125 2.471 5.125
Cl 7.780 5.125 5.125
Cl 2.471 5.125 5.125
Cl 5.125 7.780 5.125
Cl 5.125 5.125 7.780
F 5.125 5.125 5.125
CELL_PARAMETERS angstrom
0.000 5.125 5.125
5.125 0.000 5.125
5.125 5.125 0.000
! crystal system: cubic

## x
! Rb2BrCl6F | the Alexandria database | PBE | relaxed; values from VASP
&SYSTEM
  ibrav = 0, nat = 10, ntyp = 4
/
ATOMIC_SPECIES
Rb 85.47 Rb.upf
Br 79.90 Br.upf
Cl 35.45 Cl.upf
F 19.00 F.upf
ATOMIC_POSITIONS angstrom
Rb 3.851 0.000 2.273
Rb 0.000 3.851 2.273
Br 0.000 0.000 0.000
Cl 1.760 1.760 0.000
Cl 2.091 -2.091 4.547
Cl 0.000 0.000 2.458
Cl 0.000 0.000 6.636
Cl -2.091 2.091 4.547
Cl 2.091 2.091 4.547
F 0.000 0.000 4.547
CELL_PARAMETERS angstrom
-3.851 3.851 4.547
3.851 -3.851 4.547
3.851 3.851 -4.547
! crystal system: tetragonal

Which one sits at the top of the stability order? w does.

## w
! Se2BrClF | the Alexandria database | PBE | relaxed; values from VASP
&SYSTEM
  ibrav = 0, nat = 5, ntyp = 4
/
ATOMIC_SPECIES
Se 78.96 Se.upf
Br 79.90 Br.upf
Cl 35.45 Cl.upf
F 19.00 F.upf
ATOMIC_POSITIONS angstrom
Se 0.000 2.138 0.000
Se 2.138 0.000 0.000
Br 0.000 0.000 4.006
Cl 2.138 2.138 4.006
F 0.000 0.000 0.000
CELL_PARAMETERS angstrom
4.276 0.000 0.000
0.000 4.276 0.000
0.000 0.000 8.012
! crystal system: tetragonal

## x
! Se2BrClF | the Alexandria database | PBE | relaxed; values from VASP
&SYSTEM
  ibrav = 0, nat = 5, ntyp = 4
/
ATOMIC_SPECIES
Se 78.96 Se.upf
Br 79.90 Br.upf
Cl 35.45 Cl.upf
F 19.00 F.upf
ATOMIC_POSITIONS angstrom
Se 0.000 2.626 0.000
Se 2.626 0.000 0.000
Br 0.000 0.000 2.620
Cl 0.000 0.000 0.000
F 2.626 2.626 2.620
CELL_PARAMETERS angstrom
5.251 0.000 0.000
0.000 5.251 0.000
0.000 0.000 5.240
! crystal system: tetragonal

Which one sits at the top of the stability order? w does.

## w
! FeBrCl | the Alexandria database | PBE | relaxed; values from VASP
&SYSTEM
  ibrav = 0, nat = 3, ntyp = 3
/
ATOMIC_SPECIES
Fe 55.84 Fe.upf
Br 79.90 Br.upf
Cl 35.45 Cl.upf
ATOMIC_POSITIONS angstrom
Fe 0.000 0.000 0.000
Br 0.000 0.000 8.387
Cl 0.000 0.000 5.285
CELL_PARAMETERS angstrom
-1.603 1.603 6.756
1.603 -1.603 6.756
1.603 1.603 -6.756
! crystal system: tetragonal

## x
! FeBrCl | the Alexandria database | PBE | relaxed; values from VASP
&SYSTEM
  ibrav = 0, nat = 3, ntyp = 3
/
ATOMIC_SPECIES
Fe 55.84 Fe.upf
Br 79.90 Br.upf
Cl 35.45 Cl.upf
ATOMIC_POSITIONS angstrom
Fe 0.000 0.000 0.000
Br 1.733 3.896 5.438
Cl 1.733 3.896 8.825
CELL_PARAMETERS angstrom
0.000 3.896 7.225
1.733 0.000 7.225
1.733 3.896 0.000
! crystal system: orthorhombic

Which one sits at the top of the stability order? x does.

## w
! FeBrCl | the Alexandria database | PBE | relaxed; values from VASP
&SYSTEM
  ibrav = 0, nat = 3, ntyp = 3
/
ATOMIC_SPECIES
Fe 55.84 Fe.upf
Br 79.90 Br.upf
Cl 35.45 Cl.upf
ATOMIC_POSITIONS angstrom
Fe 0.000 0.000 0.000
Br 1.606 1.606 1.606
Cl 4.817 4.817 4.817
CELL_PARAMETERS angstrom
0.000 3.211 3.211
3.211 0.000 3.211
3.211 3.211 0.000
! crystal system: cubic

## x
! FeBrCl | the Alexandria database | PBE | relaxed; values from VASP
&SYSTEM
  ibrav = 0, nat = 3, ntyp = 3
/
ATOMIC_SPECIES
Fe 55.84 Fe.upf
Br 79.90 Br.upf
Cl 35.45 Cl.upf
ATOMIC_POSITIONS angstrom
Fe 0.000 0.000 0.000
Br 0.000 2.091 1.550
Cl 1.811 1.046 5.257
CELL_PARAMETERS angstrom
3.622 0.000 0.000
-1.811 3.137 0.000
0.000 0.000 6.607
! crystal system: trigonal

## y
! FeBrCl | the Alexandria database | PBE | relaxed; values from VASP
&SYSTEM
  ibrav = 0, nat = 12, ntyp = 3
/
ATOMIC_SPECIES
Fe 55.84 Fe.upf
Br 79.90 Br.upf
Cl 35.45 Cl.upf
ATOMIC_POSITIONS angstrom
Fe 0.586 1.002 0.702
Fe -0.737 2.998 3.945
Fe 5.535 5.001 2.542
Fe 4.212 6.998 5.785
Br 0.589 1.089 3.152
Br -0.734 2.911 6.395
Br 5.532 5.089 0.092
Br 4.209 6.910 3.335
Cl 0.228 4.986 3.352
Cl 1.551 7.014 0.109
Cl 3.247 0.986 6.378
Cl 4.570 3.014 3.135
CELL_PARAMETERS angstrom
7.444 0.000 0.000
0.000 8.000 0.000
-2.646 0.000 6.487
! crystal system: monoclinic

Which one sits at the top of the stability order? y does.

## w
! FeBrCl | the Alexandria database | PBE | relaxed; values from VASP
&SYSTEM
  ibrav = 0, nat = 3, ntyp = 3
/
ATOMIC_SPECIES
Fe 55.84 Fe.upf
Br 79.90 Br.upf
Cl 35.45 Cl.upf
ATOMIC_POSITIONS angstrom
Fe 0.000 0.000 0.000
Br 1.667 1.667 1.667
Cl 3.334 3.334 3.334
CELL_PARAMETERS angstrom
0.000 3.334 3.334
3.334 0.000 3.334
3.334 3.334 0.000
! crystal system: cubic

## x
! FeBrCl | the Alexandria database | PBE | relaxed; values from VASP
&SYSTEM
  ibrav = 0, nat = 6, ntyp = 3
/
ATOMIC_SPECIES
Fe 55.84 Fe.upf
Br 79.90 Br.upf
Cl 35.45 Cl.upf
ATOMIC_POSITIONS angstrom
Fe 0.000 0.000 0.000
Fe 1.810 3.121 0.000
Br 0.971 2.260 5.307
Br 3.619 4.154 1.568
Cl 1.810 1.048 1.344
Cl 2.780 5.366 5.531
CELL_PARAMETERS angstrom
3.618 0.000 0.000
0.001 6.242 0.000
0.971 0.172 6.875
! crystal system: triclinic

Which one sits at the top of the stability order? x does.

## w
! FeBr2Cl | the Alexandria database | PBE | relaxed; values from VASP
&SYSTEM
  ibrav = 0, nat = 4, ntyp = 3
/
ATOMIC_SPECIES
Fe 55.84 Fe.upf
Br 79.90 Br.upf
Cl 35.45 Cl.upf
ATOMIC_POSITIONS angstrom
Fe 0.000 0.000 0.000
Br 2.393 0.000 1.903
Br 0.000 0.000 3.806
Cl 0.000 2.393 1.903
CELL_PARAMETERS angstrom
-2.393 2.393 3.806
2.393 -2.393 3.806
2.393 2.393 -3.806
! crystal system: tetragonal

## x
! FeBr2Cl | the Alexandria database | PBE | relaxed; values from VASP
&SYSTEM
  ibrav = 0, nat = 4, ntyp = 3
/
ATOMIC_SPECIES
Fe 55.84 Fe.upf
Br 79.90 Br.upf
Cl 35.45 Cl.upf
ATOMIC_POSITIONS angstrom
Fe 0.000 0.000 0.000
Br 0.000 0.000 6.138
Br 0.000 0.000 16.284
Cl 0.000 0.000 11.211
CELL_PARAMETERS angstrom
1.791 1.034 7.474
-1.791 1.034 7.474
0.000 -2.068 7.474
! crystal system: trigonal

Which one sits at the top of the stability order? x does.

## w
! FeBr2Cl | the Alexandria database | PBE | relaxed; values from VASP
&SYSTEM
  ibrav = 0, nat = 4, ntyp = 3
/
ATOMIC_SPECIES
Fe 55.84 Fe.upf
Br 79.90 Br.upf
Cl 35.45 Cl.upf
ATOMIC_POSITIONS angstrom
Fe 0.000 0.000 0.000
Br 1.611 1.611 1.614
Br 1.611 1.611 7.836
Cl 0.000 0.000 4.725
CELL_PARAMETERS angstrom
3.223 0.000 0.000
0.000 3.223 0.000
0.000 0.000 9.450
! crystal system: tetragonal

## x
! FeBr2Cl | the Alexandria database | PBE | relaxed; values from VASP
&SYSTEM
  ibrav = 0, nat = 4, ntyp = 3
/
ATOMIC_SPECIES
Fe 55.84 Fe.upf
Br 79.90 Br.upf
Cl 35.45 Cl.upf
ATOMIC_POSITIONS angstrom
Fe 0.000 0.000 0.000
Br 1.752 1.752 1.752
Br 5.256 5.256 5.256
Cl 3.504 3.504 3.504
CELL_PARAMETERS angstrom
0.000 3.504 3.504
3.504 0.000 3.504
3.504 3.504 0.000
! crystal system: cubic

Which one sits at the top of the stability order? w does.

## w
! FeBr2Cl2 | the Alexandria database | PBE | relaxed; values from VASP
&SYSTEM
  ibrav = 0, nat = 5, ntyp = 3
/
ATOMIC_SPECIES
Fe 55.84 Fe.upf
Br 79.90 Br.upf
Cl 35.45 Cl.upf
ATOMIC_POSITIONS angstrom
Fe 0.000 0.000 0.000
Br 0.000 0.000 9.865
Br 0.000 0.000 13.060
Cl 1.754 0.000 5.731
Cl 0.000 1.754 5.731
CELL_PARAMETERS angstrom
-1.754 1.754 11.463
1.754 -1.754 11.463
1.754 1.754 -11.463
! crystal system: tetragonal

## x
! FeBr2Cl2 | the Alexandria database | PBE | relaxed; values from VASP
&SYSTEM
  ibrav = 0, nat = 10, ntyp = 3
/
ATOMIC_SPECIES
Fe 55.84 Fe.upf
Br 79.90 Br.upf
Cl 35.45 Cl.upf
ATOMIC_POSITIONS angstrom
Fe 0.000 0.000 0.000
Fe 3.518 3.518 0.000
Br 1.335 2.183 0.000
Br 2.183 5.701 0.000
Br 4.854 1.335 0.000
Br 5.701 4.854 0.000
Cl 1.349 2.169 2.667
Cl 2.169 5.687 2.667
Cl 4.868 1.349 2.667
Cl 5.687 4.868 2.667
CELL_PARAMETERS angstrom
7.036 0.000 0.000
0.000 7.036 0.000
0.000 0.000 5.334
! crystal system: tetragonal

Which one sits at the top of the stability order? x does.

## w
! Fe2BrCl | the Alexandria database | PBE | relaxed; values from VASP
&SYSTEM
  ibrav = 0, nat = 4, ntyp = 3
/
ATOMIC_SPECIES
Fe 55.84 Fe.upf
Br 79.90 Br.upf
Cl 35.45 Cl.upf
ATOMIC_POSITIONS angstrom
Fe 0.000 0.000 0.000
Fe 5.707 0.000 0.496
Br 1.672 0.000 5.152
Cl 3.846 0.000 1.825
CELL_PARAMETERS angstrom
4.066 -1.696 0.000
4.066 1.696 0.000
-0.587 0.000 6.510
! crystal system: monoclinic

## x
! Fe2BrCl | the Alexandria database | PBE | relaxed; values from VASP
&SYSTEM
  ibrav = 0, nat = 4, ntyp = 3
/
ATOMIC_SPECIES
Fe 55.84 Fe.upf
Br 79.90 Br.upf
Cl 35.45 Cl.upf
ATOMIC_POSITIONS angstrom
Fe 0.000 0.000 0.000
Fe 0.000 1.786 2.831
Br 1.786 0.000 2.831
Cl 0.000 0.000 5.663
CELL_PARAMETERS angstrom
-1.786 1.786 5.663
1.786 -1.786 5.663
1.786 1.786 -5.663
! crystal system: tetragonal

Which one sits at the top of the stability order? w does.

## w
! Fe2BrCl | the Alexandria database | PBE | relaxed; values from VASP
&SYSTEM
  ibrav = 0, nat = 4, ntyp = 3
/
ATOMIC_SPECIES
Fe 55.84 Fe.upf
Br 79.90 Br.upf
Cl 35.45 Cl.upf
ATOMIC_POSITIONS angstrom
Fe 0.733 0.000 1.910
Fe 4.185 0.000 3.379
Br 0.000 1.652 0.000
Cl 2.459 1.652 2.645
CELL_PARAMETERS angstrom
5.127 0.000 0.000
0.000 3.303 0.000
-0.209 0.000 5.289
! crystal system: monoclinic

## x
! Fe2BrCl | the Alexandria database | PBE | relaxed; values from VASP
&SYSTEM
  ibrav = 0, nat = 4, ntyp = 3
/
ATOMIC_SPECIES
Fe 55.84 Fe.upf
Br 79.90 Br.upf
Cl 35.45 Cl.upf
ATOMIC_POSITIONS angstrom
Fe 0.000 0.000 1.920
Fe 0.000 0.000 6.012
Br 1.555 0.000 3.966
Cl 1.555 0.000 0.000
CELL_PARAMETERS angstrom
1.555 -3.033 0.000
1.555 3.033 0.000
0.000 0.000 7.931
! crystal system: orthorhombic

## y
! Fe2BrCl | the Alexandria database | PBE | relaxed; values from VASP
&SYSTEM
  ibrav = 0, nat = 4, ntyp = 3
/
ATOMIC_SPECIES
Fe 55.84 Fe.upf
Br 79.90 Br.upf
Cl 35.45 Cl.upf
ATOMIC_POSITIONS angstrom
Fe 0.000 0.000 1.207
Fe 0.000 0.000 5.129
Br 1.649 1.649 3.168
Cl 1.649 1.649 0.000
CELL_PARAMETERS angstrom
3.298 0.000 0.000
0.000 3.298 0.000
0.000 0.000 6.336
! crystal system: tetragonal

## z
! Fe2BrCl | the Alexandria database | PBE | relaxed; values from VASP
&SYSTEM
  ibrav = 0, nat = 4, ntyp = 3
/
ATOMIC_SPECIES
Fe 55.84 Fe.upf
Br 79.90 Br.upf
Cl 35.45 Cl.upf
ATOMIC_POSITIONS angstrom
Fe 0.319 0.000 2.093
Fe 4.148 0.000 3.736
Br 4.318 0.000 0.000
Cl -2.085 0.000 2.915
CELL_PARAMETERS angstrom
4.318 -1.639 0.000
4.318 1.639 0.000
-4.170 0.000 5.830
! crystal system: monoclinic

Which one sits at the top of the stability order? z does.

## w
! Fe2BrCl | the Alexandria database | PBE | relaxed; values from VASP
&SYSTEM
  ibrav = 0, nat = 4, ntyp = 3
/
ATOMIC_SPECIES
Fe 55.84 Fe.upf
Br 79.90 Br.upf
Cl 35.45 Cl.upf
ATOMIC_POSITIONS angstrom
Fe 0.000 0.000 0.000
Fe 0.000 0.000 7.046
Br 0.000 0.000 19.230
Cl 0.000 0.000 14.353
CELL_PARAMETERS angstrom
1.655 0.955 8.786
-1.655 0.955 8.786
0.000 -1.911 8.786
! crystal system: trigonal

## x
! Fe2BrCl | the Alexandria database | PBE | relaxed; values from VASP
&SYSTEM
  ibrav = 0, nat = 8, ntyp = 3
/
ATOMIC_SPECIES
Fe 55.84 Fe.upf
Br 79.90 Br.upf
Cl 35.45 Cl.upf
ATOMIC_POSITIONS angstrom
Fe 3.496 0.781 -1.799
Fe 0.781 1.165 1.799
Fe -1.165 1.550 5.398
Fe 1.550 1.165 8.996
Br 2.331 0.000 3.598
Br 0.000 0.000 7.197
Cl 0.000 0.000 0.000
Cl 0.000 2.331 3.598
CELL_PARAMETERS angstrom
-2.331 2.331 7.197
2.331 -2.331 7.197
2.331 2.331 -7.197
! crystal system: tetragonal

Which one sits at the top of the stability order? w does.

## w
! Fe2BrCl | the Alexandria database | PBE | relaxed; values from VASP
&SYSTEM
  ibrav = 0, nat = 4, ntyp = 3
/
ATOMIC_SPECIES
Fe 55.84 Fe.upf
Br 79.90 Br.upf
Cl 35.45 Cl.upf
ATOMIC_POSITIONS angstrom
Fe 0.000 0.000 1.905
Fe 0.000 0.000 6.012
Br 0.000 3.007 0.000
Cl 1.557 0.000 0.000
CELL_PARAMETERS angstrom
-1.557 3.007 3.959
1.557 -3.007 3.959
1.557 3.007 -3.959
! crystal system: orthorhombic

## x
! Fe2BrCl | the Alexandria database | PBE | relaxed; values from VASP
&SYSTEM
  ibrav = 0, nat = 4, ntyp = 3
/
ATOMIC_SPECIES
Fe 55.84 Fe.upf
Br 79.90 Br.upf
Cl 35.45 Cl.upf
ATOMIC_POSITIONS angstrom
Fe 0.000 0.000 0.000
Fe 0.000 1.605 6.594
Br 1.569 0.000 5.177
Cl 0.000 0.000 9.789
CELL_PARAMETERS angstrom
-1.569 1.605 8.555
1.569 -1.605 8.555
1.569 1.605 -8.555
! crystal system: orthorhombic

## y
! Fe2BrCl | the Alexandria database | PBE | relaxed; values from VASP
&SYSTEM
  ibrav = 0, nat = 4, ntyp = 3
/
ATOMIC_SPECIES
Fe 55.84 Fe.upf
Br 79.90 Br.upf
Cl 35.45 Cl.upf
ATOMIC_POSITIONS angstrom
Fe 0.000 2.248 0.000
Fe 2.248 0.000 0.000
Br 0.000 0.000 1.610
Cl 2.248 2.248 1.610
CELL_PARAMETERS angstrom
4.496 0.000 0.000
0.000 4.496 0.000
0.000 0.000 3.220
! crystal system: tetragonal

Which one sits at the top of the stability order? x does.